# PuNi4 | Alexandria | PBE | optimized geometry
# - energy of formation (kJ/mol of formula units) = -93
# - ρ (g/cm3) = 11.52
data_PuNi4
_chemical_formula_sum 'Pu3 Ni12'
_space_group_name_H-M_alt 'P 1'
_space_group_IT_number 1
_cell_length_a 4.889
_cell_length_b 4.889
_cell_length_c 10.148
_cell_angle_alpha 85.49
_cell_angle_beta 85.49
_cell_angle_gamma 120.15
loop_
_space_group_symop_operation_xyz
'x,y,z'
loop_
_atom_site_label
_atom_site_type_symbol
_atom_site_fract_x
_atom_site_fract_y
_atom_site_fract_z
Pu1 Pu 0.877 0.877 0.357
Pu2 Pu 0.000 0.000 0.000
Pu3 Pu 0.123 0.123 0.643
Ni1 Ni 0.433 0.935 0.198
Ni2 Ni 0.935 0.433 0.198
Ni3 Ni 0.567 0.065 0.802
Ni4 Ni 0.566 0.566 0.798
Ni5 Ni 0.065 0.567 0.802
Ni6 Ni 0.336 0.664 0.000
Ni7 Ni 0.434 0.434 0.202
Ni8 Ni 0.805 0.458 0.595
Ni9 Ni 0.195 0.542 0.405
Ni10 Ni 0.542 0.195 0.405
Ni11 Ni 0.458 0.805 0.595
Ni12 Ni 0.664 0.336 0.000